Model a:
LiYCr: relaxed, GGA-PBE.

```
LiYCr
1.0
5.6654 -0.0037 0.0000
3.4126 4.5222 0.0000
-4.5390 -2.2593 2.5278
Cr Li Y
1 1 1
Direct
0.9852 0.9852 0.0000
0.3551 0.3551 0.0000
0.6597 0.6597 0.0000
```

Results
**SG**: I4mm (107)
**Density**: 3.8 Mg/m³

***

Model b:
LiYCr: relaxed, GGA-PBE.

```
LiYCr
1.0
-3.2975 2.7212 -2.1607
-0.6132 -4.7431 0.2724
-1.5703 0.3672 2.8590
Cr Li Y
1 1 1
Direct
0.0000 0.0000 0.1673
0.3333 0.6667 0.1659
0.6667 0.3333 0.6668
```

Results
**SG**: P-6m2 (187)
**Density**: 3.8 Mg/m³

***

Which of them is most stable? Easy: model a.

***

Model a:
Li2YCr: relaxed, GGA-PBE.

```
Li2YCr
1.0
4.1493 0.0000 0.0000
0.0000 4.1493 0.0000
0.0000 0.0000 5.0036
Cr Li Y
1 2 1
Direct
0.0000 0.5000 0.5000
0.0000 0.0000 0.0000
0.5000 0.5000 0.0000
0.5000 0.0000 0.5000
```

Results
**SG**: P4/mmm (123)
**Density**: 3.0 Mg/m³

***

Model b:
Li2YCr: relaxed, GGA-PBE.

```
Li2YCr
1.0
5.0946 0.0000 0.0000
0.0000 3.1743 0.0071
0.0000 0.6416 5.3333
Cr Li Y
1 2 1
Direct
0.5000 0.7500 0.7500
0.0000 0.9504 0.9656
0.0000 0.5496 0.5344
0.5000 0.2500 0.2500
```

Results
**SG**: P2/m (10)
**Density**: 3.0 Mg/m³

***

Model c:
Li2YCr: relaxed, GGA-PBE.

```
Li2YCr
1.0
-2.1131 -10.2006 -0.3079
0.4288 -10.2843 1.6310
-2.4805 -9.7179 2.8320
Cr Li Y
1 2 1
Direct
0.7500 0.7500 0.7500
0.0086 0.0086 0.0086
0.4914 0.4914 0.4914
0.2500 0.2500 0.2500
```

Results
**SG**: R-3m (166)
**Density**: 2.8 Mg/m³

***

Model d:
Li2YCr: relaxed, GGA-PBE.

```
Li2YCr
1.0
5.5571 0.3844 0.0000
-2.7545 4.8417 0.0000
0.0000 0.0000 3.1114
Cr Li Y
1 2 1
Direct
0.0000 0.5000 0.5000
0.0000 0.0000 0.0000
0.5000 0.5000 0.0000
0.5000 0.0000 0.5000
```

Results
**SG**: Cmmm (65)
**Density**: 3.0 Mg/m³

***

Which of them is most stable? Easy: model a.

***

Model a:
Li2YCr: relaxed, GGA-PBE.

```
Li2YCr
1.0
-2.4348 -1.6432 3.8682
-3.6139 -3.1926 -0.5815
0.5664 -4.6003 1.4517
Y Cr Li
1 1 2
Direct
0.5000 0.5000 0.5000
0.0000 0.0000 0.0000
0.2500 0.2500 0.2500
0.7500 0.7500 0.7500
```

Results
**SG**: Fm-3m (225)
**Density**: 3.2 Mg/m³

***

Model b:
Li2YCr: relaxed, GGA-PBE.

```
Li2YCr
1.0
5.2477 -0.1898 -0.0960
1.5078 5.0300 0.0960
-2.9960 -2.9530 3.1445
Cr Li Y
1 2 1
Direct
0.7695 0.2695 0.5000
0.0020 0.0020 0.0000
0.2288 0.7288 0.5000
0.4997 0.4997 0.0000
```

Results
**SG**: Imm2 (44)
**Density**: 3.0 Mg/m³

***

Model c:
Li2YCr: relaxed, GGA-PBE.

```
Li2YCr
1.0
-1.2496 4.2038 -3.8268
-3.7719 1.7659 -4.0660
-3.2555 3.2166 1.5458
Cr Li Y
1 2 1
Direct
0.7500 0.7500 0.7500
0.0217 0.0217 0.9786
0.4783 0.4783 0.5214
0.2500 0.2500 0.2500
```

Results
**SG**: Immm (71)
**Density**: 3.0 Mg/m³

***

Model d:
Li2YCr: relaxed, GGA-PBE.

```
Li2YCr
1.0
6.0252 0.3216 -0.0352
-3.4073 4.9796 -0.0352
0.6554 1.3272 2.8235
Cr Li Y
1 2 1
Direct
0.0000 0.5000 0.5000
0.0000 0.0000 0.0000
0.5000 0.5000 0.0000
0.5000 0.0000 0.5000
```

Results
**SG**: C2/m (12)
**Density**: 2.9 Mg/m³

***

Which of them is most stable? Easy: model c.